(1)
Density functional theory data (GGA-PBE) for LiLaMoPb2 after structural relaxation.

Output
**Energy relative to the elements**: 431 meV per atom

Cell and atoms, written as CIF:
```
data_LiLaMoPb2
_chemical_formula_sum 'Li1 La1 Mo1 Pb2'
_cell_length_a 4.985
_cell_length_b 4.985
_cell_length_c 4.908
_cell_angle_alpha 90.00
_cell_angle_beta 90.00
_cell_angle_gamma 90.00
_symmetry_space_group_name_H-M 'P 4/m m m'
_symmetry_Int_Tables_number 123
_symmetry_space_group_name_Hall '-P 4 2'
loop_
_atom_site_label
_atom_site_fract_x
_atom_site_fract_y
_atom_site_fract_z
Li1 0.000 0.000 0.000
La1 0.500 0.500 0.500
Mo1 0.000 0.000 0.500
Pb1 0.000 0.500 0.000
```

***

(2)
Density functional theory data (GGA-PBE) for LiLa2MoPt after structural relaxation.

Output
**Energy relative to the elements**: 291 meV per atom

Cell and atoms, written as CIF:
```
data_LiLa2MoPt
_chemical_formula_sum 'Li1 La2 Mo1 Pt1'
_cell_length_a 5.755
_cell_length_b 5.755
_cell_length_c 4.851
_cell_angle_alpha 90.00
_cell_angle_beta 90.00
_cell_angle_gamma 90.00
_symmetry_space_group_name_H-M 'P 4/m m m'
_symmetry_Int_Tables_number 123
_symmetry_space_group_name_Hall '-P 4 2'
loop_
_atom_site_label
_atom_site_fract_x
_atom_site_fract_y
_atom_site_fract_z
Li1 0.000 0.000 0.000
La1 0.000 0.500 0.500
Mo1 0.500 0.500 0.000
Pt1 0.500 0.500 0.500
```

***

(3)
Density functional theory data (GGA-PBE) for LiLa2MoSe after structural relaxation.

Output
**Formation energy from raw total energies**: 170.9 kJ/mol of formula units

Cell and atoms, written as CIF:
```
data_LiLa2MoSe
_chemical_formula_sum 'Li1 La2 Mo1 Se1'
_cell_length_a 5.353
_cell_length_b 5.353
_cell_length_c 4.251
_cell_angle_alpha 90.00
_cell_angle_beta 90.00
_cell_angle_gamma 90.00
_symmetry_space_group_name_H-M 'P 4/m m m'
_symmetry_Int_Tables_number 123
_symmetry_space_group_name_Hall '-P 4 2'
loop_
_atom_site_label
_atom_site_fract_x
_atom_site_fract_y
_atom_site_fract_z
Li1 0.000 0.000 0.000
La1 0.000 0.500 0.000
Mo1 0.000 0.000 0.500
Se1 0.500 0.500 0.500
```

***

The evaluated energy for the records listed, in turn: -4.59; -5.44; -4.86 eV/atom.